VASP calculation (PBE) on a geometry-optimized BeAs3Ir structure.

```
5
Lattice="4.8577 0.0000 0.0000 0.0000 4.8577 0.0000 0.0000 0.0000 4.8577" Properties=species:S:1:pos:R:3 pbc="T T T"
Be 0.0000 0.0000 0.0000
As 0.0000 2.4288 2.4288
As 2.4288 0.0000 2.4288
As 2.4288 2.4288 0.0000
Ir 2.4288 2.4288 2.4288
```

Summary:
ΔH_f (0 K) (eV/atom): 1.036
Raw total energy (eV per atom): -4.271

VASP calculation (PBE) on a geometry-optimized ZnCd4Hg structure.

```
12
Lattice="5.1342 0.0000 0.0000 1.3757 7.6230 0.0000 2.5191 2.5339 6.9143" Properties=species:S:1:pos:R:3 pbc="T T T"
Zn 1.9576 3.8139 0.0627
Zn 7.0714 6.3430 6.8516
Cd 3.2532 8.7090 4.8922
Cd 3.2306 4.0953 5.6137
Cd 3.2473 3.1506 2.6453
Cd 5.7297 8.9706 6.5421
Cd 3.2993 1.1863 0.3721
Cd 5.7817 7.0063 4.2689
Cd 5.7984 6.0616 1.3006
Cd 5.7758 1.4479 2.0221
Hg 3.2385 6.2790 2.8934
Hg 5.7905 3.8779 4.0209
```

Summary:
ΔH_f (0 K) (eV/atom): 0.047
Raw total energy (eV per atom): -0.826

VASP calculation (PBE) on a geometry-optimized KCo2H7 structure.

```
10
Lattice="2.4848 -4.5821 0.0000 2.4848 4.5821 0.0000 0.0000 0.0000 3.3082" Properties=species:S:1:pos:R:3 pbc="T T T"
K 0.0000 0.0000 0.0000
Co 2.4848 1.7189 1.6541
Co 2.4848 -1.7189 1.6541
H 0.9186 1.5020 1.6541
H 2.4848 1.5647 0.0000
H 0.9186 -1.5020 1.6541
H 2.4848 0.0000 1.6541
H 4.0510 1.5020 1.6541
H 2.4848 -1.5647 0.0000
H 4.0510 -1.5020 1.6541
```

Summary:
Raw total energy (eV per atom): -3.851

VASP calculation (PBE) on a geometry-optimized CeTl6Br12 structure.

```
19
Lattice="6.9639 4.0206 4.4250 -6.9639 4.0206 4.4250 0.0000 -8.0412 4.4250" Properties=species:S:1:pos:R:3 pbc="T T T"
Ce 0.0000 0.0000 0.0000
Tl -3.3270 0.5338 4.9149
Tl 1.2012 -3.1482 4.9149
Tl -2.1258 -2.6144 8.3601
Tl 2.1258 2.6144 4.9149
Tl -1.2012 3.1482 8.3601
Tl 3.3270 -0.5338 8.3601
Br -4.6940 -4.5802 7.2904
Br -6.3136 1.7750 5.9846
Br -1.7717 -2.2239 5.1289
Br 1.6196 -6.3552 5.9847
Br -1.0401 2.6463 5.1289
Br -2.8119 0.4224 8.1462
Br 2.8118 -0.4224 5.1289
Br 1.0401 -2.6463 8.1462
Br -1.6196 6.3552 7.2904
Br 1.7717 2.2239 8.1462
Br 6.3136 -1.7750 7.2904
Br 4.6940 4.5802 5.9846
```

Summary:
Raw total energy (eV per atom): -3.034